Here is crystalline MnAg2Ru at its relaxed geometry from the Alexandria database. Energies are from PBE-GGA.

Structure (POSCAR):
```
MnAg2Ru
1.0
-2.241 0.202 -1.614
0.994 -2.006 -1.630
-3.929 -5.791 4.730
Ag Ru Mn
2 1 1
Direct
0.000 0.000 0.495
0.000 0.000 0.005
0.500 0.500 0.750
0.500 0.500 0.250
```

Properties
Its density of states at the Fermi level is 4.48 states/eV per cell. As for the total energy: -22.1 eV per cell. For the formation energy, the calculation gives 2.082 eV per formula unit. The energy above the most stable polymorph in this dataset is 6.53 kcal/mol of atoms.